1.
{
  "formula": "Ti3IrSe",
  "functional": "PBE",
  "state": "optimized geometry",
  "lattice_angstrom": [[4.5500, 0.0000, 0.0000], [0.0000, 4.5500, 0.0000], [0.0000, 0.0000, 4.5500]],
  "species": ["Ti", "Ti", "Ti", "Ir", "Se"],
  "fractional_positions": [[0.0000, 0.0000, 0.5000], [0.0000, 0.5000, 0.0000], [0.5000, 0.0000, 0.0000], [0.5000, 0.5000, 0.5000], [0.0000, 0.0000, 0.0000]],
  "formation_energy_uncorrected_ev_per_fu": 0.8,
  "magmom_total_mub_per_fu": 0.000,
  "volume_a3_per_atom": 18.84,
  "relative_energy_mev_per_atom": 39,
  "spacegroup": "Pm-3m"
}


2.
{
  "formula": "NaCr",
  "functional": "PBE",
  "state": "optimized geometry",
  "lattice_angstrom": [[0.0000, 4.5717, 6.8525], [2.8828, 0.0000, 6.8525], [2.8828, 4.5717, 0.0000]],
  "species": ["Na", "Na", "Na", "Na", "Cr", "Cr", "Cr", "Cr"],
  "fractional_positions": [[0.0361, 0.7139, 0.0361], [0.2861, 0.9639, 0.2861], [0.7139, 0.0361, 0.7139], [0.9639, 0.2861, 0.9639], [0.3115, 0.3115, 0.4385], [0.4385, 0.4385, 0.3115], [0.5615, 0.5615, 0.6885], [0.6885, 0.6885, 0.5615]],
  "magmom_total_mub_per_fu": 0.000,
  "volume_a3_per_atom": 22.58,
  "formation_energy_ev_per_atom": 1.0643,
  "relative_energy_mev_per_atom": 277,
  "spacegroup": "Fddd"
}


3.
{
  "formula": "Li5Cd2Ag2Au",
  "functional": "PBE",
  "state": "optimized geometry",
  "lattice_angstrom": [[10.2012, 0.0000, 0.0000], [0.0000, 10.2012, 0.0000], [0.0000, 0.0000, 3.4570]],
  "species": ["Li", "Li", "Li", "Li", "Li", "Li", "Li", "Li", "Li", "Li", "Cd", "Cd", "Cd", "Cd", "Ag", "Ag", "Ag", "Ag", "Au", "Au"],
  "fractional_positions": [[0.0000, 0.5000, 0.0000], [0.0721, 0.1837, 0.0000], [0.1837, 0.9279, 0.0000], [0.3163, 0.4279, 0.0000], [0.4279, 0.6837, 0.0000], [0.5000, 0.0000, 0.0000], [0.5721, 0.3163, 0.0000], [0.6837, 0.5721, 0.0000], [0.8163, 0.0721, 0.0000], [0.9279, 0.8163, 0.0000], [0.1664, 0.6664, 0.5000], [0.3336, 0.1664, 0.5000], [0.6664, 0.8336, 0.5000], [0.8336, 0.3336, 0.5000], [0.1323, 0.3677, 0.5000], [0.3677, 0.8677, 0.5000], [0.6323, 0.1323, 0.5000], [0.8677, 0.6323, 0.5000], [0.0000, 0.0000, 0.5000], [0.5000, 0.5000, 0.5000]],
  "magmom_total_mub_per_fu": 0.000,
  "volume_a3_per_atom": 17.99,
  "formation_energy_ev_per_atom": -0.2230,
  "spacegroup": "P4/mbm"
}


4.
{
  "formula": "NiIr2W",
  "functional": "PBE",
  "state": "optimized geometry",
  "lattice_angstrom": [[6.1151, 0.0000, 0.0000], [0.0000, 6.1151, 0.0000], [0.0000, 0.0000, 6.1151]],
  "species": ["Ni", "Ni", "Ni", "Ni", "Ir", "Ir", "Ir", "Ir", "Ir", "Ir", "Ir", "Ir", "W", "W", "W", "W"],
  "fractional_positions": [[0.0000, 0.0000, 0.0000], [0.0000, 0.5000, 0.5000], [0.5000, 0.0000, 0.5000], [0.5000, 0.5000, 0.0000], [0.2500, 0.2500, 0.2500], [0.2500, 0.2500, 0.7500], [0.2500, 0.7500, 0.2500], [0.2500, 0.7500, 0.7500], [0.7500, 0.2500, 0.2500], [0.7500, 0.2500, 0.7500], [0.7500, 0.7500, 0.2500], [0.7500, 0.7500, 0.7500], [0.0000, 0.0000, 0.5000], [0.0000, 0.5000, 0.0000], [0.5000, 0.0000, 0.0000], [0.5000, 0.5000, 0.5000]],
  "magmom_total_mub_per_fu": 0.000,
  "volume_a3_per_atom": 14.29,
  "formation_energy_ev_per_atom": 0.0017,
  "relative_energy_mev_per_atom": 248,
  "spacegroup": "Fm-3m"
}


5.
{
  "formula": "Tl8Hg3Sb2",
  "functional": "PBE",
  "state": "optimized geometry",
  "lattice_angstrom": [[3.3664, 1.9436, 11.5428], [-3.3664, 1.9436, 11.5428], [0.0000, -3.8872, 11.5428]],
  "species": ["Tl", "Tl", "Tl", "Tl", "Tl", "Tl", "Tl", "Tl", "Hg", "Hg", "Hg", "Sb", "Sb"],
  "fractional_positions": [[0.2030, 0.2030, 0.2030], [0.2153, 0.2153, 0.7031], [0.2153, 0.7031, 0.2153], [0.2969, 0.7847, 0.7847], [0.7031, 0.2153, 0.2153], [0.7847, 0.2969, 0.7847], [0.7847, 0.7847, 0.2969], [0.7970, 0.7970, 0.7970], [0.2949, 0.2949, 0.2949], [0.5000, 0.5000, 0.5000], [0.7051, 0.7051, 0.7051], [0.1127, 0.1127, 0.1127], [0.8873, 0.8873, 0.8873]],
  "formation_energy_uncorrected_ev_per_fu": 1.3,
  "magmom_total_mub_per_fu": 0.000,
  "volume_a3_per_atom": 34.86,
  "relative_energy_mev_per_atom": 110,
  "spacegroup": "R-3m"
}


6.
{
  "formula": "Be4Al",
  "functional": "PBE",
  "state": "optimized geometry",
  "lattice_angstrom": [[5.2182, 0.0000, 0.0000], [0.0000, 5.2182, 0.0000], [0.0000, 0.0000, 5.2182]],
  "species": ["Be", "Be", "Be", "Be", "Be", "Be", "Be", "Be", "Al", "Al"],
  "fractional_positions": [[0.2500, 0.2500, 0.2500], [0.2500, 0.2500, 0.7500], [0.2500, 0.7500, 0.2500], [0.2500, 0.7500, 0.7500], [0.7500, 0.2500, 0.2500], [0.7500, 0.2500, 0.7500], [0.7500, 0.7500, 0.2500], [0.7500, 0.7500, 0.7500], [0.0000, 0.0000, 0.0000], [0.5000, 0.5000, 0.5000]],
  "magmom_total_mub_per_fu": 0.000,
  "volume_a3_per_atom": 14.21,
  "formation_energy_ev_per_atom": 0.9893,
  "relative_energy_mev_per_atom": 0,
  "spacegroup": "Im-3m"
}


7.
{
  "formula": "Ac2LaY6",
  "functional": "PBE",
  "state": "optimized geometry",
  "lattice_angstrom": [[10.0910, 0.0000, 0.0000], [-5.0455, 8.7391, 0.0000], [0.0000, 0.0000, 3.6419]],
  "species": ["Ac", "Ac", "La", "Y", "Y", "Y", "Y", "Y", "Y"],
  "fractional_positions": [[0.3333, 0.6667, 0.2711], [0.6667, 0.3333, 0.7289], [0.0000, 0.0000, 0.5000], [0.0195, 0.3448, 0.7752], [0.3253, 0.9805, 0.7752], [0.3448, 0.3253, 0.2248], [0.6552, 0.6747, 0.7752], [0.6747, 0.0195, 0.2248], [0.9805, 0.6552, 0.2248]],
  "magmom_total_mub_per_fu": 0.001,
  "volume_a3_per_atom": 35.69,
  "formation_energy_ev_per_atom": 0.1129,
  "spacegroup": "P-3"
}


8.
{
  "formula": "PmBiSe",
  "functional": "PBE",
  "state": "optimized geometry",
  "lattice_angstrom": [[4.3209, 0.0000, 0.0000], [0.0000, 4.3209, 0.0000], [0.0000, 0.0000, 18.4478]],
  "species": ["Pm", "Pm", "Pm", "Pm", "Bi", "Bi", "Bi", "Bi", "Se", "Se", "Se", "Se"],
  "fractional_positions": [[0.0000, 0.0000, 0.1535], [0.0000, 0.0000, 0.8465], [0.5000, 0.5000, 0.3465], [0.5000, 0.5000, 0.6535], [0.0000, 0.5000, 0.0000], [0.0000, 0.5000, 0.5000], [0.5000, 0.0000, 0.0000], [0.5000, 0.0000, 0.5000], [0.0000, 0.0000, 0.3141], [0.0000, 0.0000, 0.6859], [0.5000, 0.5000, 0.1859], [0.5000, 0.5000, 0.8141]],
  "formation_energy_uncorrected_ev_per_fu": -3.8,
  "magmom_total_mub_per_fu": 0.000,
  "volume_a3_per_atom": 28.70,
  "relative_energy_mev_per_atom": 0,
  "spacegroup": "I4/mmm"
}


9.
{
  "formula": "Pu2ThSn9",
  "functional": "PBE",
  "state": "optimized geometry",
  "lattice_angstrom": [[3.3007, -4.7140, 0.0000], [3.3007, 4.7140, 0.0000], [0.0000, 0.0000, 10.3060]],
  "species": ["Pu", "Pu", "Th", "Sn", "Sn", "Sn", "Sn", "Sn", "Sn", "Sn", "Sn", "Sn"],
  "fractional_positions": [[0.0000, 0.0000, 0.1624], [0.0000, 0.0000, 0.8376], [0.0000, 0.0000, 0.5000], [0.0000, 0.5000, 0.0000], [0.0000, 0.5000, 0.3278], [0.0000, 0.5000, 0.6722], [0.5000, 0.0000, 0.0000], [0.5000, 0.0000, 0.3278], [0.5000, 0.0000, 0.6722], [0.5000, 0.5000, 0.1661], [0.5000, 0.5000, 0.5000], [0.5000, 0.5000, 0.8339]],
  "magmom_total_mub_per_fu": 11.824,
  "volume_a3_per_atom": 26.73,
  "formation_energy_ev_per_atom": -0.2431,
  "spacegroup": "Cmmm"
}


10.
{
  "formula": "MnAlSe2",
  "functional": "PBE",
  "state": "optimized geometry",
  "lattice_angstrom": [[5.5701, 0.0000, 0.0000], [0.0000, 5.5701, 0.0000], [0.0000, 0.0000, 10.9236]],
  "species": ["Mn", "Mn", "Mn", "Mn", "Al", "Al", "Al", "Al", "Se", "Se", "Se", "Se", "Se", "Se", "Se", "Se"],
  "fractional_positions": [[0.0000, 0.0000, 0.0000], [0.0000, 0.5000, 0.2500], [0.5000, 0.0000, 0.7500], [0.5000, 0.5000, 0.5000], [0.0000, 0.0000, 0.5000], [0.0000, 0.5000, 0.7500], [0.5000, 0.0000, 0.2500], [0.5000, 0.5000, 0.0000], [0.2302, 0.2500, 0.1250], [0.2500, 0.7302, 0.3750], [0.2500, 0.7698, 0.8750], [0.2698, 0.2500, 0.6250], [0.7302, 0.7500, 0.6250], [0.7500, 0.2302, 0.8750], [0.7500, 0.2698, 0.3750], [0.7698, 0.7500, 0.1250]],
  "formation_energy_uncorrected_ev_per_fu": -0.4,
  "magmom_total_mub_per_fu": 0.000,
  "volume_a3_per_atom": 21.18,
  "spacegroup": "I-42d"
}


11.
{
  "formula": "LiYHf",
  "functional": "PBE",
  "state": "optimized geometry",
  "lattice_angstrom": [[3.3240, 0.0000, 0.0000], [-1.6620, 2.8787, 0.0000], [0.0000, 0.0000, 15.9652]],
  "species": ["Li", "Li", "Y", "Y", "Hf", "Hf"],
  "fractional_positions": [[0.0000, 0.0000, 0.0000], [0.3333, 0.6667, 0.8466], [0.0000, 0.0000, 0.6675], [0.6667, 0.3333, 0.1781], [0.3333, 0.6667, 0.3453], [0.6667, 0.3333, 0.4988]],
  "magmom_total_mub_per_fu": 0.000,
  "volume_a3_per_atom": 25.46,
  "formation_energy_ev_per_atom": 0.1244,
  "relative_energy_mev_per_atom": 26,
  "spacegroup": "P3m1"
}


12.
{
  "formula": "TiCu2Ni",
  "functional": "PBE",
  "state": "optimized geometry",
  "lattice_angstrom": [[3.0877, 0.0000, 0.0000], [0.0000, 3.1402, 0.0000], [0.0000, 0.0000, 10.5779]],
  "species": ["Ti", "Ti", "Cu", "Cu", "Cu", "Cu", "Ni", "Ni"],
  "fractional_positions": [[0.2500, 0.2500, 0.1974], [0.7500, 0.7500, 0.8026], [0.2500, 0.2500, 0.4432], [0.2500, 0.2500, 0.9404], [0.7500, 0.7500, 0.0596], [0.7500, 0.7500, 0.5568], [0.2500, 0.2500, 0.6893], [0.7500, 0.7500, 0.3107]],
  "magmom_total_mub_per_fu": 0.000,
  "volume_a3_per_atom": 12.82,
  "formation_energy_ev_per_atom": -0.1896,
  "spacegroup": "Pmmn"
}